1.
Entry from the Alexandria database: a geometry-optimized Zn2PbBr structure (PBE-GGA).

Calculated values
As for the polymorph energy (0 for the lowest one): 170.4 meV per atom. The formation energy without anion corrections is 0.09 eV per atom.

a = 4.4744 Å, b = 4.4744 Å, c = 10.0262 Å
α = 90.00°, β = 90.00°, γ = 90.00°
Space group I-4m2 (No. 119)
Inequivalent atoms, fractional coordinates:
Zn 0.0000 0.0000 0.0000 [2 per cell]
Zn 0.0000 0.5000 0.2500 [2 per cell]
Pb 0.0000 0.0000 0.5000 [2 per cell]
Br 0.0000 0.5000 0.7500 [2 per cell]

2.
Entry from the Alexandria database: a geometry-optimized SrTl2CuCl6 structure (PBE-GGA).

Calculated values
The formation energy without anion corrections is -1.27 eV per atom.

a = 6.0612 Å, b = 7.1775 Å, c = 15.8379 Å
α = 90.00°, β = 111.62°, γ = 90.00°
Space group P2_1/c (No. 14)
Inequivalent atoms, fractional coordinates:
Sr 0.0000 0.0000 0.0000 [2 per cell]
Tl 0.1857 0.0873 0.7494 [4 per cell]
Cu 0.5000 0.0000 0.5000 [2 per cell]
Cl 0.1614 0.1670 0.4274 [4 per cell]
Cl 0.2799 0.0154 0.1914 [4 per cell]
Cl 0.3067 0.7321 0.4344 [4 per cell]

3.
Entry from the Alexandria database: a geometry-optimized La2SiSe5 structure (PBE-GGA).

Calculated values
The formation energy without anion corrections is -1.29 eV per atom.

a = 8.9307 Å, b = 10.6532 Å, c = 6.2326 Å
α = 90.00°, β = 129.44°, γ = 90.00°
Space group Cm (No. 8)
Inequivalent atoms, fractional coordinates:
La 0.0000 0.2311 0.0000 [4 per cell]
Si 0.0539 0.5000 0.5651 [2 per cell]
Se 0.0547 0.2542 0.5514 [4 per cell]
Se 0.1104 0.5000 0.9774 [2 per cell]
Se 0.2492 0.0000 0.1403 [2 per cell]
Se 0.3343 0.5000 0.6288 [2 per cell]

4.
Entry from the Alexandria database: a geometry-optimized Pt2O3 structure (PBE-GGA).

Calculated values
The formation energy without anion corrections is 0.38 eV per atom.

a = 5.7051 Å, b = 5.7051 Å, c = 7.7151 Å
α = 90.00°, β = 90.00°, γ = 120.00°
Space group R3m (No. 160, hexagonal axes)
Inequivalent atoms, fractional coordinates:
Pt 0.0000 0.0000 0.0000 [3 per cell]
Pt 0.0000 0.0000 0.3871 [3 per cell]
O 0.0245 0.5122 0.8443 [9 per cell]

5.
Entry from the Alexandria database: a geometry-optimized Pm2OsPt structure (PBE-GGA).

Calculated values
The formation energy is -0.5177 eV per atom. As for the polymorph energy (0 for the lowest one): 0.0 meV per atom.

a = 3.4954 Å, b = 3.4954 Å, c = 7.2463 Å
α = 90.00°, β = 90.00°, γ = 90.00°
Space group P4/mmm (No. 123)
Inequivalent atoms, fractional coordinates:
Pm 0.0000 0.0000 0.2426 [2 per cell]
Os 0.5000 0.5000 0.0000 [1 per cell]
Pt 0.5000 0.5000 0.5000 [1 per cell]

6.
Entry from the Alexandria database: a geometry-optimized SbMo2Cl structure (PBE-GGA).

Calculated values
As for the polymorph energy (0 for the lowest one): 180.1 meV per atom. The formation energy without anion corrections is 0.08 eV per atom.

a = 3.1391 Å, b = 3.1391 Å, c = 8.6380 Å
α = 90.00°, β = 90.00°, γ = 90.00°
Space group P4mm (No. 99)
Inequivalent atoms, fractional coordinates:
Sb 0.0000 0.0000 0.0000 [1 per cell]
Mo 0.0000 0.0000 0.6062 [1 per cell]
Mo 0.5000 0.5000 0.7734 [1 per cell]
Cl 0.5000 0.5000 0.4000 [1 per cell]

7.
Entry from the Alexandria database: a geometry-optimized Ta2ZnP structure (PBE-GGA).

Calculated values
The formation energy is 0.4397 eV per atom.

a = 6.3831 Å, b = 6.3831 Å, c = 6.3831 Å
α = 90.00°, β = 90.00°, γ = 90.00°
Space group F-43m (No. 216)
Inequivalent atoms, fractional coordinates:
Ta 0.0000 0.0000 0.0000 [4 per cell]
Ta 0.2500 0.2500 0.2500 [4 per cell]
Zn 0.0000 0.0000 0.5000 [4 per cell]
P 0.2500 0.2500 0.7500 [4 per cell]

8.
Entry from the Alexandria database: a geometry-optimized Pm2MgRh structure (PBE-GGA).

Calculated values
The formation energy is -0.4315 eV per atom. As for the polymorph energy (0 for the lowest one): 0.0 meV per atom.

a = 4.0302 Å, b = 14.5734 Å, c = 7.4961 Å
α = 90.00°, β = 90.00°, γ = 90.00°
Space group Cmcm (No. 63)
Inequivalent atoms, fractional coordinates:
Pm 0.0000 0.1426 0.0041 [8 per cell]
Mg 0.0000 0.4912 0.7500 [4 per cell]
Rh 0.0000 0.2988 0.7500 [4 per cell]